(1)
# Zr2FeHRh (PBE-GGA, relaxed)
data_Zr2FeHRh
_cell_length_a 4.5585
_cell_length_b 4.5585
_cell_length_c 3.4260
_cell_angle_alpha 90.00
_cell_angle_beta 90.00
_cell_angle_gamma 90.00
_space_group_name_H-M_alt 'P 4/m m m'
_space_group_IT_number 123
_space_group_name_Hall '-P 4 2'
loop_
_atom_site_label
_atom_site_type_symbol
_atom_site_fract_x
_atom_site_fract_y
_atom_site_fract_z
Zr1 Zr 0.0000 0.5000 0.0000
Fe1 Fe 0.0000 0.0000 0.5000
H1 H 0.0000 0.0000 0.0000
Rh1 Rh 0.5000 0.5000 0.5000
# **Density of states at the Fermi level**: 2.9 states/eV/f.u.
# **Calculated total energy**: -38.48 eV for the cell shown
# **Total moment**: 0.26 μB/atom
# **ΔE to the lowest computed polymorph**: 0.000 eV per atom

***

(2)
# ScZnPb3 (PBE-GGA, relaxed)
data_ScZnPb3
_cell_length_a 5.6476
_cell_length_b 5.6476
_cell_length_c 5.6476
_cell_angle_alpha 90.00
_cell_angle_beta 90.00
_cell_angle_gamma 90.00
_space_group_name_H-M_alt 'P m -3 m'
_space_group_IT_number 221
_space_group_name_Hall '-P 4 2 3'
loop_
_atom_site_label
_atom_site_type_symbol
_atom_site_fract_x
_atom_site_fract_y
_atom_site_fract_z
Sc1 Sc 0.0000 0.0000 0.0000
Zn1 Zn 0.5000 0.5000 0.5000
Pb1 Pb 0.0000 0.0000 0.5000
# **Density of states at the Fermi level**: 5.8 states/eV/f.u.
# **Calculated total energy**: -16.60 eV for the cell shown
# **Total moment**: 0.00 μB/atom
# **ΔE to the lowest computed polymorph**: 0.050 eV per atom

***

(3)
# TmTePdRh (PBE-GGA, relaxed)
data_TmTePdRh
_cell_length_a 6.7288
_cell_length_b 6.7288
_cell_length_c 6.7288
_cell_angle_alpha 90.00
_cell_angle_beta 90.00
_cell_angle_gamma 90.00
_space_group_name_H-M_alt 'F -4 3 m'
_space_group_IT_number 216
_space_group_name_Hall 'F -4 2 3'
loop_
_atom_site_label
_atom_site_type_symbol
_atom_site_fract_x
_atom_site_fract_y
_atom_site_fract_z
Tm1 Tm 0.0000 0.0000 0.0000
Te1 Te 0.0000 0.0000 0.5000
Pd1 Pd 0.2500 0.2500 0.7500
Rh1 Rh 0.2500 0.2500 0.2500
# **Density of states at the Fermi level**: 1.4 states/eV/f.u.
# **Calculated total energy**: -91.63 eV for the cell shown
# **Total moment**: 0.00 μB/atom

***

(4)
# ZrPdBr2 (PBE-GGA, relaxed)
data_ZrPdBr2
_cell_length_a 7.3583
_cell_length_b 7.3583
_cell_length_c 6.8154
_cell_angle_alpha 90.00
_cell_angle_beta 90.00
_cell_angle_gamma 90.00
_space_group_name_H-M_alt 'I -4 2 d'
_space_group_IT_number 122
_space_group_name_Hall 'I -4 2bw'
loop_
_atom_site_label
_atom_site_type_symbol
_atom_site_fract_x
_atom_site_fract_y
_atom_site_fract_z
Zr1 Zr 0.0000 0.0000 0.0000
Pd1 Pd 0.0000 0.0000 0.5000
Br1 Br 0.2492 0.2500 0.6250
# **Density of states at the Fermi level**: 2.5 states/eV/f.u.
# **Calculated total energy**: -69.69 eV for the cell shown
# **Total moment**: 0.46 μB/atom
# **ΔE to the lowest computed polymorph**: 0.412 eV per atom

***

(5)
# Sr2CdGa4Ge3 (PBE-GGA, relaxed)
data_Sr2CdGa4Ge3
_cell_length_a 4.7335
_cell_length_b 4.7335
_cell_length_c 10.3098
_cell_angle_alpha 90.00
_cell_angle_beta 90.00
_cell_angle_gamma 90.00
_space_group_name_H-M_alt 'P -4 m 2'
_space_group_IT_number 115
loop_
_space_group_symop_operation_xyz
'x,y,z'
'y,-x,-z'
'-x,-y,z'
'-y,x,-z'
'-x,y,z'
'-y,-x,-z'
'x,-y,z'
'y,x,-z'
loop_
_atom_site_label
_atom_site_type_symbol
_atom_site_fract_x
_atom_site_fract_y
_atom_site_fract_z
Sr1 Sr 0.0000 0.5000 0.2449
Cd1 Cd 0.0000 0.0000 0.5000
Ga1 Ga 0.0000 0.0000 0.0000
Ga2 Ga 0.0000 0.5000 0.6358
Ga3 Ga 0.5000 0.5000 0.0000
Ge1 Ge 0.0000 0.5000 0.8838
Ge2 Ge 0.5000 0.5000 0.5000
# **Density of states at the Fermi level**: 2.9 states/eV/f.u.
# **Calculated total energy**: -33.38 eV for the cell shown
# **Total moment**: 0.00 μB/atom

***

(6)
# SrLi2UCl8 (PBE-GGA, relaxed)
data_SrLi2UCl8
_cell_length_a 6.2533
_cell_length_b 6.2648
_cell_length_c 8.7786
_cell_angle_alpha 89.64
_cell_angle_beta 89.63
_cell_angle_gamma 85.51
_space_group_name_H-M_alt 'P -1'
_space_group_IT_number 2
loop_
_space_group_symop_operation_xyz
'x,y,z'
'-x,-y,-z'
loop_
_atom_site_label
_atom_site_type_symbol
_atom_site_fract_x
_atom_site_fract_y
_atom_site_fract_z
Sr1 Sr 0.0000 0.0000 0.0000
Li1 Li 0.4978 0.4978 0.1866
U1 U 0.0000 0.0000 0.5000
Cl1 Cl 0.2136 0.7921 0.2704
Cl2 Cl 0.2151 0.7936 0.7295
Cl3 Cl 0.2732 0.2808 0.5005
Cl4 Cl 0.3081 0.3144 0.9995
# **Density of states at the Fermi level**: 3.2 states/eV/f.u.
# **Calculated total energy**: -54.37 eV for the cell shown
# **Total moment**: 0.17 μB/atom

***

(7)
# VSb (PBE-GGA, relaxed)
data_VSb
_cell_length_a 7.1762
_cell_length_b 8.3264
_cell_length_c 10.4110
_cell_angle_alpha 90.00
_cell_angle_beta 90.00
_cell_angle_gamma 90.00
_space_group_name_H-M_alt 'F d d d'
_space_group_IT_number 70
loop_
_space_group_symop_operation_xyz
'x,y,z'
'-x,-y,-z'
'-x+1/4,-y+1/4,z'
'x+1/4,y+1/4,-z'
'x,-y+1/4,-z+1/4'
'-x,y+1/4,z+1/4'
'-x+1/4,y,-z+1/4'
'x+1/4,-y,z+1/4'
'x,y+1/2,z+1/2'
'-x,-y+1/2,-z+1/2'
'-x+1/4,-y+3/4,z+1/2'
'x+1/4,y+3/4,-z+1/2'
'x,-y+3/4,-z+3/4'
'-x,y+3/4,z+3/4'
'-x+1/4,y+1/2,-z+3/4'
'x+1/4,-y+1/2,z+3/4'
'x+1/2,y,z+1/2'
'-x+1/2,-y,-z+1/2'
'-x+3/4,-y+1/4,z+1/2'
'x+3/4,y+1/4,-z+1/2'
'x+1/2,-y+1/4,-z+3/4'
'-x+1/2,y+1/4,z+3/4'
'-x+3/4,y,-z+3/4'
'x+3/4,-y,z+3/4'
'x+1/2,y+1/2,z'
'-x+1/2,-y+1/2,-z'
'-x+3/4,-y+3/4,z'
'x+3/4,y+3/4,-z'
'x+1/2,-y+3/4,-z+1/4'
'-x+1/2,y+3/4,z+1/4'
'-x+3/4,y+1/2,-z+1/4'
'x+3/4,-y+1/2,z+1/4'
loop_
_atom_site_label
_atom_site_type_symbol
_atom_site_fract_x
_atom_site_fract_y
_atom_site_fract_z
V1 V 0.0404 0.3750 0.3750
Sb1 Sb 0.1250 0.3240 0.6250
# **Density of states at the Fermi level**: 1.6 states/eV/f.u.
# **Calculated total energy**: -206.45 eV for the cell shown
# **Total moment**: 0.00 μB/atom